## w
## ZnSbAs (PBE)

Data for a relaxed structure of ZnSbAs.

Cell: 6.534 6.320 3.326 Å, 78.60 71.47 29.93°
Element x y z (fractional)
Zn 0.652 0.652 0.348
Sb 0.328 0.328 0.672
As 0.020 0.020 0.980

Results
theoretical density: 6.8 g/cm³
space group: Fmm2



## x
## ZnSbAs (PBE)

Data for a relaxed structure of ZnSbAs.

Cell: 4.631 4.631 4.631 Å, 60.00 60.00 60.00°
Element x y z (fractional)
Zn 0.750 0.750 0.750
As 0.000 0.000 0.000
Sb 0.500 0.500 0.500

Results
theoretical density: 6.2 g/cm³
space group: F-43m



Which of them is the most stable? Correct choice: x.



## w
## ZnSbAs (PBE)

Data for a relaxed structure of ZnSbAs.

Cell: 6.338 6.338 6.338 Å, 147.47 147.47 46.66°
Element x y z (fractional)
As 0.072 0.072 0.000
Sb 0.303 0.303 0.000
Zn 0.625 0.625 0.000

Results
theoretical density: 5.9 g/cm³
space group: I4mm



## x
## ZnSbAs (PBE)

Data for a relaxed structure of ZnSbAs.

Cell: 3.853 3.853 10.035 Å, 106.72 106.72 88.30°
Element x y z (fractional)
As 0.759 0.759 0.148
As 0.241 0.241 0.852
Zn 0.747 0.747 0.877
Zn 0.253 0.253 0.123
Sb 0.177 0.177 0.422
Sb 0.823 0.823 0.578

Results
theoretical density: 6.4 g/cm³
space group: C2/m



## y
## ZnSbAs (PBE)

Data for a relaxed structure of ZnSbAs.

Cell: 5.141 5.141 2.984 Å, 90.00 90.00 120.00°
Element x y z (fractional)
As 0.000 0.000 0.001
Sb 0.667 0.333 0.998
Zn 0.333 0.667 0.000

Results
theoretical density: 6.4 g/cm³
space group: P3m1



Which of them is the most stable? Correct choice: x.



## w
## ZnSb2As2 (PBE)

Data for a relaxed structure of ZnSb2As2.

Cell: 4.965 4.965 7.057 Å, 69.41 69.41 90.00°
Element x y z (fractional)
Zn 0.000 0.000 0.000
As 0.250 0.750 0.500
As 0.750 0.250 0.500
Sb 0.642 0.642 0.716
Sb 0.358 0.358 0.284

Results
theoretical density: 5.0 g/cm³
space group: I4/mmm



## x
## ZnSb2As2 (PBE)

Data for a relaxed structure of ZnSb2As2.

Cell: 7.780 7.780 3.930 Å, 90.00 90.00 90.00°
Element x y z (fractional)
Sb 0.653 0.847 0.500
Sb 0.347 0.153 0.500
Sb 0.153 0.653 0.500
Sb 0.847 0.347 0.500
As 0.828 0.672 0.000
As 0.328 0.828 0.000
As 0.172 0.328 0.000
As 0.672 0.172 0.000
Zn 0.500 0.500 0.000
Zn 0.000 0.000 0.000

Results
theoretical density: 6.4 g/cm³
space group: P4/mbm



## y
## ZnSb2As2 (PBE)

Data for a relaxed structure of ZnSb2As2.

Cell: 7.947 7.947 3.835 Å, 90.00 90.00 90.00°
Element x y z (fractional)
Sb 0.676 0.176 0.000
Sb 0.824 0.676 0.000
Sb 0.324 0.824 0.000
Sb 0.176 0.324 0.000
As 0.850 0.350 0.500
As 0.350 0.150 0.500
As 0.150 0.650 0.500
As 0.650 0.850 0.500
Zn 0.500 0.500 0.000
Zn 0.000 0.000 0.000

Results
theoretical density: 6.3 g/cm³
space group: P4/mbm



Which of them is the most stable? Correct choice: x.



## w
## ZnSbAs2 (PBE)

Data for a relaxed structure of ZnSbAs2.

Cell: 3.121 3.121 8.899 Å, 90.00 90.00 106.15°
Element x y z (fractional)
Sb 0.500 0.500 0.250
As 0.000 0.000 0.961
As 0.000 0.000 0.539
Zn 0.500 0.500 0.750

Results
theoretical density: 6.7 g/cm³
space group: Cmmm



## x
## ZnSbAs2 (PBE)

Data for a relaxed structure of ZnSbAs2.

Cell: 5.856 5.856 2.973 Å, 79.69 79.69 119.34°
Element x y z (fractional)
As 0.000 0.000 0.000
As 0.500 0.500 0.000
Zn 0.000 0.500 0.500
Sb 0.500 0.000 0.500

Results
theoretical density: 6.7 g/cm³
space group: C2/m



Which of them is the most stable? Correct choice: w.



## w
## ZnSbAs2 (PBE)

Data for a relaxed structure of ZnSbAs2.

Cell: 6.151 6.151 4.778 Å, 110.32 110.32 33.27°
Element x y z (fractional)
Zn 0.750 0.750 0.750
As 0.990 0.990 0.920
As 0.510 0.510 0.580
Sb 0.250 0.250 0.250

Results
theoretical density: 6.1 g/cm³
space group: C2/m



## x
## ZnSbAs2 (PBE)

Data for a relaxed structure of ZnSbAs2.

Cell: 3.581 3.566 6.456 Å, 90.00 90.00 90.00°
Element x y z (fractional)
Sb 0.500 0.500 0.250
As 0.000 0.000 0.545
As 0.000 0.000 0.955
Zn 0.500 0.500 0.750

Results
theoretical density: 6.8 g/cm³
space group: Pmmm



Which of them is the most stable? Correct choice: w.



## w
## ZnSbAs2 (PBE)

Data for a relaxed structure of ZnSbAs2.

Cell: 6.006 6.006 7.477 Å, 66.32 66.32 90.00°
Element x y z (fractional)
Zn 0.500 0.500 0.000
Zn 0.250 0.750 0.500
As 0.162 0.625 0.250
As 0.588 0.125 0.250
As 0.375 0.412 0.750
As 0.875 0.838 0.750
Sb 0.750 0.250 0.500
Sb 0.000 0.000 0.000

Results
theoretical density: 5.0 g/cm³
space group: I-42d



## x
## ZnSbAs2 (PBE)

Data for a relaxed structure of ZnSbAs2.

Cell: 3.886 2.956 7.890 Å, 103.74 90.00 90.00°
Element x y z (fractional)
As 0.000 0.421 0.527
As 0.000 0.079 0.973
Sb 0.500 0.250 0.250
Zn 0.500 0.750 0.750

Results
theoretical density: 6.4 g/cm³
space group: P2/m



## y
## ZnSbAs2 (PBE)

Data for a relaxed structure of ZnSbAs2.

Cell: 5.759 5.759 5.759 Å, 144.41 124.45 67.73°
Element x y z (fractional)
As 0.812 0.312 0.500
As 0.008 0.008 0.000
Zn 0.223 0.723 0.500
Sb 0.458 0.458 0.000

Results
theoretical density: 6.2 g/cm³
space group: Imm2



## z
## ZnSbAs2 (PBE)

Data for a relaxed structure of ZnSbAs2.

Cell: 4.799 4.799 4.799 Å, 114.74 114.74 99.38°
Element x y z (fractional)
Sb 0.500 0.500 0.000
As 0.250 0.750 0.500
As 0.000 0.000 0.000
Zn 0.750 0.250 0.500

Results
theoretical density: 6.7 g/cm³
space group: I-4m2



Which of them is the most stable? Correct choice: w.



## w
## ZnSbAs2 (PBE)

Data for a relaxed structure of ZnSbAs2.

Cell: 4.891 4.891 4.891 Å, 60.00 60.00 60.00°
Element x y z (fractional)
Sb 0.500 0.500 0.500
As 0.000 0.000 0.000
As 0.250 0.250 0.250
Zn 0.750 0.750 0.750

Results
theoretical density: 6.8 g/cm³
space group: F-43m



## x
## ZnSbAs2 (PBE)

Data for a relaxed structure of ZnSbAs2.

Cell: 5.969 5.969 5.969 Å, 143.31 137.57 57.32°
Element x y z (fractional)
As 0.447 0.447 0.000
As 0.053 0.053 0.000
Zn 0.250 0.750 0.500
Sb 0.750 0.250 0.500

Results
theoretical density: 6.6 g/cm³
space group: Immm



## y
## ZnSbAs2 (PBE)

Data for a relaxed structure of ZnSbAs2.

Cell: 9.673 9.673 9.673 Å, 18.95 18.95 18.95°
Element x y z (fractional)
Zn 0.750 0.750 0.750
As 0.488 0.488 0.488
As 0.012 0.012 0.012
Sb 0.250 0.250 0.250

Results
theoretical density: 6.7 g/cm³
space group: R-3m



Which of them is the most stable? Correct choice: x.



## w
## ZnSbAs2 (PBE)

Data for a relaxed structure of ZnSbAs2.

Cell: 3.536 4.667 5.010 Å, 90.00 90.00 90.00°
Element x y z (fractional)
Zn 0.000 0.500 0.500
As 0.500 0.500 0.000
As 0.000 0.000 0.000
Sb 0.500 0.000 0.500

Results
theoretical density: 6.8 g/cm³
space group: Pmmm



## x
## ZnSbAs2 (PBE)

Data for a relaxed structure of ZnSbAs2.

Cell: 3.788 3.788 6.473 Å, 90.00 90.00 90.00°
Element x y z (fractional)
Sb 0.000 0.000 0.562
As 0.500 0.500 0.086
As 0.000 0.000 0.150
Zn 0.500 0.500 0.702

Results
theoretical density: 6.0 g/cm³
space group: P4mm



## y
## ZnSbAs2 (PBE)

Data for a relaxed structure of ZnSbAs2.

Cell: 3.863 3.863 7.094 Å, 74.41 74.41 59.71°
Element x y z (fractional)
As 0.003 0.003 0.990
As 0.256 0.256 0.231
Zn 0.740 0.740 0.779
Sb 0.500 0.500 0.500

Results
theoretical density: 6.4 g/cm³
space group: Cm



Which of them is the most stable? Correct choice: x.



## w
## ZnSbAs2 (PBE)

Data for a relaxed structure of ZnSbAs2.

Cell: 4.906 4.906 4.906 Å, 60.00 60.00 60.00°
Element x y z (fractional)
Sb 0.500 0.500 0.500
Zn 0.000 0.000 0.000
As 0.250 0.250 0.250
As 0.750 0.750 0.750

Results
theoretical density: 6.7 g/cm³
space group: Fm-3m



## x
## ZnSbAs2 (PBE)

Data for a relaxed structure of ZnSbAs2.

Cell: 3.230 3.230 8.498 Å, 90.00 90.00 108.24°
Element x y z (fractional)
Zn 0.500 0.500 0.772
As 0.000 0.000 0.996
As 0.500 0.500 0.219
Sb 0.000 0.000 0.513

Results
theoretical density: 6.6 g/cm³
space group: Cmm2



Which of them is the most stable? Correct choice: x.



## w
## ZnSbAs2 (PBE)

Data for a relaxed structure of ZnSbAs2.

Cell: 4.850 4.850 3.521 Å, 90.00 90.00 90.00°
Element x y z (fractional)
Zn 0.000 0.500 0.500
As 0.000 0.000 0.000
As 0.500 0.500 0.000
Sb 0.500 0.000 0.500

Results
theoretical density: 6.8 g/cm³
space group: P4/mmm



## x
## ZnSbAs2 (PBE)

Data for a relaxed structure of ZnSbAs2.

Cell: 3.816 2.928 7.926 Å, 100.48 90.00 90.00°
Element x y z (fractional)
As 0.500 0.312 0.229
As 0.000 0.185 0.981
Zn 0.500 0.552 0.782
Sb 0.000 0.451 0.509

Results
theoretical density: 6.4 g/cm³
space group: Pm



Which of them is the most stable? Correct choice: x.



## w
## ZnSb2As (PBE)

Data for a relaxed structure of ZnSb2As.

Cell: 6.217 6.217 7.752 Å, 66.36 66.36 90.00°
Element x y z (fractional)
Sb 0.875 0.858 0.750
Sb 0.375 0.392 0.750
Sb 0.608 0.125 0.250
Sb 0.142 0.625 0.250
As 0.750 0.250 0.500
As 0.000 0.000 0.000
Zn 0.500 0.500 0.000
Zn 0.250 0.750 0.500

Results
theoretical density: 5.2 g/cm³
space group: I-42d



## x
## ZnSb2As (PBE)

Data for a relaxed structure of ZnSb2As.

Cell: 5.075 5.075 5.075 Å, 60.00 60.00 60.00°
Element x y z (fractional)
Sb 0.250 0.250 0.250
Sb 0.000 0.000 0.000
As 0.500 0.500 0.500
Zn 0.750 0.750 0.750

Results
theoretical density: 6.9 g/cm³
space group: F-43m



## y
## ZnSb2As (PBE)

Data for a relaxed structure of ZnSb2As.

Cell: 3.252 3.252 8.659 Å, 90.00 90.00 90.00°
Element x y z (fractional)
Zn 0.000 0.000 0.536
Sb 0.500 0.500 0.296
Sb 0.000 0.000 0.968
As 0.500 0.500 0.700

Results
theoretical density: 7.0 g/cm³
space group: P4mm



## z
## ZnSb2As (PBE)

Data for a relaxed structure of ZnSb2As.

Cell: 6.269 5.869 3.085 Å, 77.32 85.35 120.85°
Element x y z (fractional)
As 0.500 0.500 0.000
Zn 0.000 0.500 0.500
Sb 0.500 0.000 0.500
Sb 0.000 0.000 0.000

Results
theoretical density: 6.9 g/cm³
space group: C2/m



Which of them is the most stable? Correct choice: w.